Material: ScCo3SiB
Method: DFT, PBE
State: optimized geometry

Computed properties:
- space-group type = Cmcm
- ΔE_f (raw) (eV per atom) = -0.38

Unit cell a=5.986 b=5.986 c=5.272 alpha=90.00 beta=90.00 gamma=128.75
Fractional positions:
Sc  0.231  0.769  0.750
Sc  0.769  0.231  0.250
Co  0.238  0.238  0.000
Co  0.238  0.238  0.500
Co  0.339  0.661  0.250
Co  0.661  0.339  0.750
Co  0.762  0.762  0.000
Co  0.762  0.762  0.500
Si  0.138  0.862  0.250
Si  0.862  0.138  0.750
B  0.472  0.528  0.750
B  0.528  0.472  0.250